1.
CdAu2Cl: optimized geometry, GGA-PBEsol.

Computed properties:
As for the spin magnetization: 0.00 μB/cell. The calculation puts the uncorrected formation energy at -0.025 eV per atom. The value obtained for the excess energy over the best structure of this formula in the dataset is 0 meV per atom.

```
4
Lattice="-1.915 1.915 5.312 1.915 -1.915 5.312 1.915 1.915 -5.312" Properties=species:S:1:pos:R:3 pbc="T T T"
Cd 0.000 0.000 0.000
Au 1.915 0.000 2.656
Au 0.000 1.915 2.656
Cl 0.000 0.000 5.312
```

=====

2.
KLaCO4: optimized geometry, GGA-PBEsol.

Computed properties:
As for the spin magnetization: 0.00 μB/cell. The calculation puts the uncorrected formation energy at -2.333 eV per atom.

```
14
Lattice="3.618 0.000 0.000 0.000 4.710 0.000 0.000 0.000 11.942" Properties=species:S:1:pos:R:3 pbc="T T T"
K 0.904 1.177 1.293
K 2.713 3.532 10.649
La 0.904 1.177 4.812
La 2.713 3.532 7.130
C 0.904 1.177 9.340
C 2.713 3.532 2.602
O 0.904 0.053 8.702
O 0.904 1.177 10.638
O 0.904 2.302 8.702
O 0.904 3.532 5.723
O 2.713 1.177 6.219
O 2.713 2.408 3.240
O 2.713 3.532 1.303
O 2.713 4.657 3.240
```

=====

3.
K2CaW: optimized geometry, GGA-PBEsol.

Computed properties:
As for the spin magnetization: 1.27 μB/cell. The value obtained for the excess energy over the best structure of this formula in the dataset is 0 meV per atom.

```
4
Lattice="3.155 -6.466 0.000 3.155 6.466 0.000 0.000 0.000 2.955" Properties=species:S:1:pos:R:3 pbc="T T T"
K 1.577 3.233 0.000
K 1.577 -3.233 0.000
Ca 0.000 0.000 1.477
W 3.155 0.000 1.477
```

=====

4.
HfCoSbTe2: optimized geometry, GGA-PBEsol.

Computed properties:
As for the spin magnetization: 2.55 μB/cell. The calculation puts the uncorrected formation energy at 0.850 eV per atom.

```
5
Lattice="5.408 0.000 0.000 0.000 5.408 0.000 0.000 0.000 5.455" Properties=species:S:1:pos:R:3 pbc="T T T"
Hf 0.000 0.000 0.000
Co 2.704 2.704 2.727
Sb 0.000 0.000 2.727
Te 0.000 2.704 0.000
Te 2.704 0.000 0.000
```

=====

5.
Sr2La2MgMnO8: optimized geometry, GGA-PBEsol.

Computed properties:
As for the spin magnetization: 3.00 μB/cell. The calculation puts the uncorrected formation energy at -2.804 eV per atom. The value obtained for the excess energy over the best structure of this formula in the dataset is 84 meV per atom.

```
14
Lattice="3.807 0.000 0.000 0.000 3.807 0.000 0.000 0.000 12.465" Properties=species:S:1:pos:R:3 pbc="T T T"
Sr 0.000 0.000 1.732
Sr 0.000 0.000 10.733
La 1.903 1.903 4.496
La 1.903 1.903 7.969
Mg 0.000 0.000 6.232
Mn 1.903 1.903 0.000
O 0.000 0.000 4.087
O 0.000 0.000 8.378
O 0.000 1.903 0.000
O 0.000 1.903 6.232
O 1.903 0.000 0.000
O 1.903 0.000 6.232
O 1.903 1.903 1.952
O 1.903 1.903 10.513
```

=====

6.
ScNiPb2W: optimized geometry, GGA-PBEsol.

Computed properties:
As for the spin magnetization: 1.10 μB/cell.

```
5
Lattice="5.360 0.000 0.000 0.000 5.360 0.000 0.000 0.000 4.580" Properties=species:S:1:pos:R:3 pbc="T T T"
Sc 0.000 0.000 0.000
Ni 2.680 2.680 2.290
Pb 0.000 2.680 0.000
Pb 2.680 0.000 0.000
W 0.000 0.000 2.290
```

=====

7.
BaMgAg2: optimized geometry, GGA-PBEsol.

Computed properties:
As for the spin magnetization: 0.00 μB/cell.

```
4
Lattice="2.391 1.381 5.561 -2.391 1.381 5.561 0.000 -2.761 5.561" Properties=species:S:1:pos:R:3 pbc="T T T"
Ba 0.000 0.000 0.000
Mg 0.000 0.000 8.341
Ag 0.000 0.000 3.287
Ag 0.000 0.000 13.395
```

=====

8.
AgSb3N: optimized geometry, GGA-PBEsol.

Computed properties:
As for the spin magnetization: 2.63 μB/cell. The calculation puts the uncorrected formation energy at 1.683 eV per atom. The value obtained for the excess energy over the best structure of this formula in the dataset is 1148 meV per atom.

```
5
Lattice="5.299 0.000 0.000 0.000 5.299 0.000 0.000 0.000 5.299" Properties=species:S:1:pos:R:3 pbc="T T T"
Ag 0.000 0.000 0.000
Sb 0.000 0.000 2.650
Sb 0.000 2.650 0.000
Sb 2.650 0.000 0.000
N 2.650 2.650 2.650
```

=====

9.
AsIrRh2: optimized geometry, GGA-PBEsol.

Computed properties:
As for the spin magnetization: 0.00 μB/cell.

```
4
Lattice="2.798 0.000 0.000 0.000 3.899 0.000 -1.177 0.000 5.179" Properties=species:S:1:pos:R:3 pbc="T T T"
As 0.000 0.000 0.000
Ir -0.588 0.000 2.590
Rh 0.792 1.949 1.261
Rh 0.829 1.949 3.919
```

=====

10.
Cu2Au: optimized geometry, GGA-PBEsol.

Computed properties:
As for the spin magnetization: 0.00 μB/cell. The value obtained for the excess energy over the best structure of this formula in the dataset is 1 meV per atom.

```
12
Lattice="5.314 0.000 0.000 0.000 3.765 0.000 0.000 0.000 7.966" Properties=species:S:1:pos:R:3 pbc="T T T"
Cu 0.605 0.941 1.965
Cu 0.677 0.941 7.327
Cu 1.980 2.824 3.344
Cu 2.052 2.824 5.948
Cu 3.262 0.941 2.018
Cu 3.334 0.941 4.621
Cu 4.638 2.824 0.638
Cu 4.709 2.824 6.001
Au 0.729 0.941 4.714
Au 1.928 2.824 0.732
Au 3.386 0.941 7.234
Au 4.585 2.824 3.251
```

=====

11.
Os2RuRh: optimized geometry, GGA-PBEsol.

Computed properties:
As for the spin magnetization: 0.00 μB/cell. The value obtained for the excess energy over the best structure of this formula in the dataset is 15 meV per atom.

```
4
Lattice="3.787 0.000 0.000 0.000 3.787 0.000 0.000 0.000 3.810" Properties=species:S:1:pos:R:3 pbc="T T T"
Os 0.000 1.894 0.000
Os 1.894 0.000 0.000
Ru 0.000 0.000 1.905
Rh 1.894 1.894 1.905
```

=====

12.
Li5Al: optimized geometry, GGA-PBEsol.

Computed properties:
As for the spin magnetization: 0.00 μB/cell. The value obtained for the excess energy over the best structure of this formula in the dataset is 3 meV per atom.

```
6
Lattice="5.355 -1.418 0.000 5.355 1.418 0.000 -2.085 0.000 6.946" Properties=species:S:1:pos:R:3 pbc="T T T"
Li 0.000 0.000 0.000
Li -0.728 0.000 4.362
Li 1.988 0.000 4.759
Li 3.588 0.000 1.914
Li 6.499 0.000 2.285
Al 5.730 0.000 6.645
```

=====

| no. | uncorrected energy (eV per atom) |
| --- | --- |
| 1 | -2.7880 |
| 2 | -7.6359 |
| 3 | -3.0491 |
| 4 | -5.1201 |
| 5 | -7.6499 |
| 6 | -5.1000 |
| 7 | -2.8499 |
| 8 | -3.4188 |
| 9 | -7.8091 |
| 10 | -4.2359 |
| 11 | -10.5873 |
| 12 | -2.3685 |